(1)
First-principles (PBE) data for a geometry-optimized TaRhW structure, as listed in Alexandria.

Results
Total moment ... 0.000 μB per cell
Symmetry ... P3m1, No. 156
V ... 49 Å³ per cell
E above lowest polymorph ... 187 meV/atom
DOS at the Fermi energy ... 2.8 states/eV/cell

Structure (CIF):
```
data_TaRhW
_symmetry_space_group_name_H-M 'P 1'
_symmetry_Int_Tables_number 1
_cell_length_a 2.828
_cell_length_b 2.828
_cell_length_c 7.048
_cell_angle_alpha 90.00
_cell_angle_beta 90.00
_cell_angle_gamma 120.00
loop_
_symmetry_equiv_pos_as_xyz
'x,y,z'
loop_
_atom_site_label
_atom_site_type_symbol
_atom_site_fract_x
_atom_site_fract_y
_atom_site_fract_z
Ta1 Ta 0.667 0.333 0.323
W1 W 0.333 0.667 0.681
Rh1 Rh 0.000 0.000 0.996
```

=====

(2)
First-principles (PBE) data for a geometry-optimized CsZnC2S structure, as listed in Alexandria.

Results
Total moment ... 2.204 μB per cell
Symmetry ... P4/mmm, No. 123
V ... 101 Å³ per cell
Raw formation energy ... 1915 meV per atom
DOS at the Fermi energy ... 3.5 states/eV/cell

Structure (CIF):
```
data_CsZnC2S
_symmetry_space_group_name_H-M 'P 1'
_symmetry_Int_Tables_number 1
_cell_length_a 4.516
_cell_length_b 4.931
_cell_length_c 4.516
_cell_angle_alpha 90.00
_cell_angle_beta 90.00
_cell_angle_gamma 90.00
loop_
_symmetry_equiv_pos_as_xyz
'x,y,z'
loop_
_atom_site_label
_atom_site_type_symbol
_atom_site_fract_x
_atom_site_fract_y
_atom_site_fract_z
C1 C 0.000 0.000 0.500
C2 C 0.500 0.000 0.000
Zn1 Zn 0.000 0.000 0.000
Cs1 Cs 0.500 0.500 0.500
S1 S 0.000 0.500 0.000
```

=====

(3)
First-principles (PBE) data for a geometry-optimized BaSbPd structure, as listed in Alexandria.

Results
Total moment ... 0.000 μB per cell
Symmetry ... Immm, No. 71
V ... 189 Å³ per cell
Raw formation energy ... -776 meV per atom
DOS at the Fermi energy ... 4.2 states/eV/cell

Structure (CIF):
```
data_BaSbPd
_symmetry_space_group_name_H-M 'P 1'
_symmetry_Int_Tables_number 1
_cell_length_a 4.798
_cell_length_b 6.792
_cell_length_c 6.792
_cell_angle_alpha 71.60
_cell_angle_beta 69.32
_cell_angle_gamma 69.32
loop_
_symmetry_equiv_pos_as_xyz
'x,y,z'
loop_
_atom_site_label
_atom_site_type_symbol
_atom_site_fract_x
_atom_site_fract_y
_atom_site_fract_z
Pd1 Pd 0.500 0.676 0.324
Pd2 Pd 0.500 0.324 0.676
Sb1 Sb 0.000 0.191 0.809
Sb2 Sb 0.000 0.809 0.191
Ba1 Ba 0.256 0.244 0.244
Ba2 Ba 0.744 0.756 0.756
```

=====

Number 1: total energy -10.70 eV per atom. Number 2: total energy -3.03 eV per atom. Number 3: total energy -4.52 eV per atom.